## BaMnP2O7 (PBE with a Hubbard U)

Data for crystalline BaMnP2O7 at its relaxed geometry. Values from VASP.

```
&SYSTEM
  ibrav = 0, nat = 44, ntyp = 4
/
ATOMIC_SPECIES
Ba 137.33 Ba.upf
Mn 54.94 Mn.upf
P 30.97 P.upf
O 16.00 O.upf
ATOMIC_POSITIONS angstrom
Ba -1.2204 1.2689 3.6884
Ba -4.0172 3.0821 10.2666
Ba 4.0715 5.6199 2.8899
Ba 1.2747 7.4331 9.4682
Mn -1.0096 1.3844 7.9881
Mn 1.7871 2.9666 1.4098
Mn -1.7328 5.7354 11.7468
Mn 1.0639 7.3176 5.1685
P 1.0825 6.0514 0.2576
P -1.7142 7.0016 6.8359
P -1.3744 4.7744 8.7577
P 1.4223 8.2787 2.1794
P -1.3680 0.4234 10.9771
P 1.4287 3.9276 4.3988
P 1.7685 1.7004 6.3207
P -1.0282 2.6506 12.8989
O -2.3601 1.4802 6.3070
O -5.1568 2.8709 12.8853
O -3.8725 5.9762 12.0166
O -1.0758 7.0768 5.4383
O -2.4592 5.4262 9.6485
O 0.3375 7.6268 3.0702
O -1.4485 5.4579 7.2882
O 1.3483 7.5951 0.7099
O -2.7621 0.6801 10.4098
O 0.0346 3.6709 3.8315
O 1.0958 1.0531 1.9673
O -1.7009 3.2979 8.5455
O 1.8072 5.1482 1.2756
O -0.9895 7.9049 7.8539
O 1.0438 0.7972 5.3026
O -1.7529 3.5538 11.8809
O 1.7552 5.4042 4.6110
O -1.0415 7.6489 11.1893
O 0.0197 5.0311 9.3250
O 2.8164 8.0219 2.7468
O -1.2939 1.1069 12.4466
O 1.5028 3.2441 5.8683
O -0.2832 1.0752 10.0863
O 2.5135 3.2758 3.5080
O 1.1301 1.6252 7.7183
O 3.9268 2.7258 1.1400
O 5.2111 5.8312 0.2712
O 2.4144 7.2219 6.8495
CELL_PARAMETERS angstrom
5.6478 0.0000 0.0000
0.0000 8.7020 0.0000
-5.5934 0.0000 13.1565
```

Summary:
- mass density (g cm⁻³) = 3.8
- calculated total energy (eV per atom) = -7.467